Entry 1:
Computed, not measured: a relaxed structure of HoTcOs at the GGA-PBE level of DFT.

Properties
- ΔE_f: 319 meV per atom
- M_tot: 0.01 μB per formula unit

Cell lengths 9.5448, 9.5448, 9.5448 Å; angles 25.35, 25.35, 25.35 degrees
Element x y z (fractional)
Ho (0.1125, 0.1125, 0.1125)
Ho (0.8875, 0.8875, 0.8875)
Tc (0.3860, 0.3860, 0.3860)
Tc (0.6140, 0.6140, 0.6140)
Os (0.2965, 0.2965, 0.2965)
Os (0.7035, 0.7035, 0.7035)

---

Entry 2:
Computed, not measured: a relaxed structure of Na5Pr4Ge4O16F at the GGA-PBE level of DFT.

Properties
- Energy: -6.5699 eV per atom
- M_tot: 0.02 μB per formula unit

Cell lengths 8.9912, 8.9912, 8.9912 Å; angles 95.70, 95.70, 143.26 degrees
Element x y z (fractional)
Na (0.0000, 0.0000, 0.0000)
Na (0.0834, 0.3933, 0.5155)
Na (0.4321, 0.9166, 0.3099)
Na (0.6067, 0.1222, 0.6901)
Na (0.8778, 0.5679, 0.4845)
Pr (0.2924, 0.5903, 0.9331)
Pr (0.4097, 0.3428, 0.7020)
Pr (0.6407, 0.7076, 0.2980)
Pr (0.6572, 0.3593, 0.0669)
Ge (0.1109, 0.7606, 0.8533)
Ge (0.2394, 0.0926, 0.3503)
Ge (0.7424, 0.8891, 0.6497)
Ge (0.9074, 0.2576, 0.1467)
O (0.0507, 0.1764, 0.7844)
O (0.0622, 0.5641, 0.7133)
O (0.1297, 0.1672, 0.4425)
O (0.2444, 0.4997, 0.1851)
O (0.3127, 0.8703, 0.0375)
O (0.3146, 0.0594, 0.8149)
O (0.3919, 0.2663, 0.2156)
O (0.4359, 0.1492, 0.4982)
O (0.5003, 0.6854, 0.7448)
O (0.6511, 0.9378, 0.5018)
O (0.7247, 0.6873, 0.5575)
O (0.7337, 0.9493, 0.1256)
O (0.8236, 0.6081, 0.8744)
O (0.8328, 0.2753, 0.9625)
O (0.8508, 0.3489, 0.2867)
O (0.9406, 0.7556, 0.2552)
F (0.5000, 0.5000, 0.0000)

---

Entry 3:
Computed, not measured: a relaxed structure of Cs2Sm2O5 at the GGA-PBE level of DFT.

Properties
- Energy: -4.5320 eV per atom
- M_tot: 0.00 μB per formula unit

Cell lengths 4.6564, 4.6564, 7.4597 Å; angles 90.00, 90.00, 90.00 degrees
Element x y z (fractional)
Cs (0.0000, 0.0000, 0.1964)
Cs (0.0000, 0.0000, 0.8036)
Sm (0.5000, 0.5000, 0.0000)
Sm (0.5000, 0.5000, 0.5000)
O (0.0000, 0.0000, 0.5000)
O (0.0000, 0.5000, 0.2500)
O (0.0000, 0.5000, 0.7500)
O (0.5000, 0.0000, 0.2500)
O (0.5000, 0.0000, 0.7500)

---

Entry 4:
Computed, not measured: a relaxed structure of Li5InPd6 at the GGA-PBE level of DFT.

Properties
- Energy: -4.1091 eV per atom

Cell lengths 6.7961, 6.7961, 6.1339 Å; angles 90.09, 90.09, 142.99 degrees
Element x y z (fractional)
Li (0.0000, 0.0000, 0.0000)
Li (0.3319, 0.6681, 0.5000)
Li (0.3352, 0.6648, 0.0000)
Li (0.6648, 0.3352, 0.0000)
Li (0.6681, 0.3319, 0.5000)
In (0.0000, 0.0000, 0.5000)
Pd (0.1708, 0.8294, 0.2401)
Pd (0.1706, 0.8292, 0.7599)
Pd (0.4989, 0.4989, 0.2362)
Pd (0.5011, 0.5011, 0.7638)
Pd (0.8294, 0.1708, 0.2401)
Pd (0.8292, 0.1706, 0.7599)